Entry 1:
## Tb2NdYS6 (GGA-PBE)

Data for Tb2NdYS6 after structural relaxation.

mass density	4.67	g/cm3
energy relative to the elements, uncorrected	-2047.0	meV per atom

Cell: 7.0072 7.0072 18.6417 Å, 90.00 90.00 120.00°
Closest atoms and distances in Å follow each position.
Space group R3 (No. 146, hexagonal axes)
Asymmetric unit:
Tb (0.0000, 0.0000, 0.0000) [3 per cell]  6 S 2.72-2.80
Tb (0.0000, 0.0000, 0.4970) [3 per cell]  6 S 2.73-2.80
Nd (0.0000, 0.0000, 0.2044) [3 per cell]  6 S 2.80-2.91
Y (0.0000, 0.0000, 0.6995) [3 per cell]  6 S 2.74-2.79
S (0.0010, 0.3036, 0.0979) [9 per cell]  2 Tb 2.73-2.80, 1 Y 2.74, 1 Nd 2.91
S (0.0151, 0.7132, 0.5985) [9 per cell]  2 Tb 2.72-2.80, 1 Y 2.79, 1 Nd 2.80



Entry 2:
## SrAs2 (GGA-PBE)

Data for SrAs2 after structural relaxation.

mass density	4.80	g/cm3
E_form	-684	meV per atom

Cell: 11.4291 3.9284 7.3462 Å, 90.00 95.11 90.00°
Closest atoms and distances in Å follow each position.
Space group C2/m (No. 12)
Asymmetric unit:
Sr (0.1143, 0.0000, 0.2828) [4 per cell]  9 As 3.16-3.42
As (0.1083, 0.5000, 0.6582) [4 per cell]  2 As 2.57
As (0.1778, 0.0000, 0.8663) [4 per cell]  2 As 2.57



Entry 3:
## TmZn12Ag6 (GGA-PBE)

Data for TmZn12Ag6 after structural relaxation.

mass density	7.82	g/cm3
E_form	12	meV per atom

Cell: 11.5551 11.5551 8.8178 Å, 90.00 90.00 120.00°
Closest atoms and distances in Å follow each position.
Space group R-3m (No. 166, hexagonal axes)
Asymmetric unit:
Tm (0.0000, 0.0000, 0.0000) [3 per cell]  6 Zn 3.00
Zn (0.0000, 0.3918, 0.5000) [18 per cell]  3 Zn 2.50-2.74, 4 Ag 2.61-2.74
Zn (0.0813, 0.1626, 0.2854) [18 per cell]  4 Ag 2.71-2.81, 4 Zn 2.74-2.82, 1 Tm 3.00
Ag (0.0589, 0.5295, 0.2318) [18 per cell]  8 Zn 2.61-2.81



Entry 4:
## NdDy2YSe6 (GGA-PBE)

Data for NdDy2YSe6 after structural relaxation.

mass density	5.73	g/cm3
energy relative to the elements, uncorrected	-1850.8	meV per atom

Cell: 7.2796 7.2796 19.5355 Å, 90.00 90.00 120.00°
Closest atoms and distances in Å follow each position.
Space group R3 (No. 146, hexagonal axes)
Asymmetric unit:
Nd (0.0000, 0.0000, 0.0000) [3 per cell]  6 Se 2.92-3.02
Dy (0.0000, 0.0000, 0.2980) [3 per cell]  6 Se 2.85-2.91
Dy (0.0000, 0.0000, 0.8010) [3 per cell]  6 Se 2.84-2.90
Y (0.0000, 0.0000, 0.4954) [3 per cell]  6 Se 2.86-2.91
Se (0.0033, 0.3087, 0.8959) [9 per cell]  2 Dy 2.85-2.90, 1 Y 2.86, 1 Nd 3.02
Se (0.0173, 0.7098, 0.3964) [9 per cell]  2 Dy 2.84-2.91, 1 Y 2.91, 1 Nd 2.92



Entry 5:
## Ba2TbCdTe5 (GGA-PBE)

Data for Ba2TbCdTe5 after structural relaxation.

mass density	5.91	g/cm3
energy relative to the elements, uncorrected	-1241.5	meV per atom

Cell: 4.6090 20.4494 14.1119 Å, 90.00 90.00 90.00°
Closest atoms and distances in Å follow each position.
Space group Cmc2_1 (No. 36)
Asymmetric unit:
Ba (0.0000, 0.1171, 0.0000) [4 per cell]  7 Te 3.50-3.74
Ba (0.0000, 0.1277, 0.6294) [4 per cell]  7 Te 3.51-3.70
Tb (0.0000, 0.2060, 0.3278) [4 per cell]  6 Te 3.04-3.18
Cd (0.0000, 0.4426, 0.7524) [4 per cell]  4 Te 2.79-3.00
Te (0.0000, 0.0531, 0.3697) [4 per cell]  2 Cd 2.84
Te (0.0000, 0.2924, 0.9753) [4 per cell]  2 Tb 3.11
Te (0.0000, 0.3057, 0.6765) [4 per cell]  1 Cd 3.00, 2 Tb 3.15
Te (0.0000, 0.3547, 0.3182) [4 per cell]  1 Tb 3.04
Te (0.0000, 0.4963, 0.0758) [4 per cell]  1 Cd 2.79



Entry 6:
## Ba2Np3ScO12 (GGA-PBE)

Data for Ba2Np3ScO12 after structural relaxation.

mass density	6.06	g/cm3
energy relative to the elements, uncorrected	-2932.8	meV per atom

Cell: 7.9963 7.9963 18.1595 Å, 90.00 90.00 120.00°
Closest atoms and distances in Å follow each position.
Space group R-3m (No. 166, hexagonal axes)
Asymmetric unit:
Ba (0.0000, 0.0000, 0.1777) [6 per cell]  6 O 2.76-2.97
Np (0.0000, 0.5000, 0.0000) [9 per cell]  6 O 1.98-2.16
Sc (0.0000, 0.0000, 0.5000) [3 per cell]  6 O 2.11
O (0.0742, 0.5371, 0.1054) [18 per cell]  1 Np 1.98, 1 Sc 2.11
O (0.0915, 0.5457, 0.3679) [18 per cell]  2 Np 2.16



Entry 7:
## K3Tl8Pb (GGA-PBE)

Data for K3Tl8Pb after structural relaxation.

mass density	7.88	g/cm3
E_form	-58	meV per atom

Cell: 6.6723 6.6723 32.1295 Å, 90.00 90.00 120.00°
Closest atoms and distances in Å follow each position.
Space group R3m (No. 160, hexagonal axes)
Asymmetric unit:
K (0.0000, 0.0000, 0.0000) [3 per cell]  12 Tl 3.78-3.90, 3 Pb 4.00, 1 K 4.02
K (0.0000, 0.0000, 0.1251) [3 per cell]  12 Tl 3.91-3.94, 4 K 4.02-4.14
K (0.0000, 0.0000, 0.5056) [3 per cell]  12 Tl 3.85-4.04, 1 Pb 4.09, 3 K 4.14
Tl (0.0000, 0.0000, 0.3136) [3 per cell]  6 Tl 3.26
Tl (0.0000, 0.0000, 0.8124) [3 per cell]  6 Tl 3.31-3.37
Tl (0.0004, 0.5002, 0.5653) [9 per cell]  6 Tl 3.26-3.37
Tl (0.1674, 0.3347, 0.3952) [9 per cell]  6 Tl 3.26-3.35, 1 Pb 3.62
Pb (0.0000, 0.0000, 0.6329) [3 per cell]  12 Tl 3.62-3.98, 3 K 4.00



Entry 8:
## LiInFe4 (GGA-PBE)

Data for LiInFe4 after structural relaxation.

mass density	6.92	g/cm3
E_form	153	meV per atom

Cell: 6.9181 6.9181 6.9181 Å, 90.00 90.00 90.00°
Closest atoms and distances in Å follow each position.
Space group F-43m (No. 216)
Asymmetric unit:
Li (0.0000, 0.0000, 0.0000) [4 per cell]  12 Fe 2.87, 4 In 3.00
In (0.2500, 0.2500, 0.7500) [4 per cell]  12 Fe 2.87, 4 Li 3.00
Fe (0.1258, 0.1258, 0.3742) [16 per cell]  6 Fe 2.43-2.46



Entry 9:
## SiPb2O4 (GGA-PBE)

Data for SiPb2O4 after structural relaxation.

mass density	6.13	g/cm3
energy relative to the elements, uncorrected	-1807.4	meV per atom
energy above the lowest structure with this stoichiometry	0.053	eV per atom

Cell: 8.2742 7.9192 5.3277 Å, 90.00 128.16 90.00°
Closest atoms and distances in Å follow each position.
Space group Cm (No. 8)
Asymmetric unit:
Si (0.0000, 0.0000, 0.0000) [2 per cell]  4 O 1.65-1.68
Pb (0.0040, 0.2665, 0.4844) [4 per cell]  3 O 2.28-2.46
O (0.2539, 0.0000, 0.2338) [2 per cell]  1 Si 1.65
O (0.4124, 0.3241, 0.7877) [4 per cell]  1 Si 1.65
O (0.4129, 0.5000, 0.2124) [2 per cell]  1 Si 1.68